# 1
A plane-wave DFT calculation with meta-GGA SCAN was carried out for Ru2AuSe at its PBEsol-relaxed geometry.

As for the formation energy (no corrections): 0.2913 eV/atom.

Cell lengths 9.2736, 9.2736, 9.2736 Å; angles 17.42, 17.42, 17.42 degrees
Element x y z (fractional)
Ru  0.0000  0.0000  0.0000
Ru  0.2601  0.2601  0.2601
Au  0.5078  0.5078  0.5078
Se  0.7395  0.7395  0.7395



# 2
A plane-wave DFT calculation with meta-GGA SCAN was carried out for Ru2AuSe at its PBEsol-relaxed geometry.

As for the formation energy (no corrections): 0.4868 eV/atom.

Cell lengths 5.5081, 5.5081, 5.5081 Å; angles 150.44, 130.95, 58.32 degrees
Element x y z (fractional)
Ru  0.0000  0.0000  0.0000
Ru  0.7776  0.2776  0.5000
Au  0.5042  0.5042  0.0000
Se  0.2247  0.7247  0.5000



# 3
A plane-wave DFT calculation with meta-GGA SCAN was carried out for Ru2AuSe at its PBEsol-relaxed geometry.

As for the formation energy (no corrections): 0.6784 eV/atom.

Cell lengths 2.8128, 2.8128, 8.7851 Å; angles 90.00, 90.00, 118.76 degrees
Element x y z (fractional)
Ru  0.0000  0.0000  0.2296
Ru  0.0000  0.0000  0.7704
Au  0.5000  0.5000  0.5000
Se  0.5000  0.5000  0.0000



# 4
A plane-wave DFT calculation with meta-GGA SCAN was carried out for RuAu2Se at its PBEsol-relaxed geometry.

As for the formation energy (no corrections): 0.1047 eV/atom.

Cell lengths 2.9346, 2.9346, 7.8734 Å; angles 90.00, 90.00, 90.00 degrees
Element x y z (fractional)
Ru  0.0000  0.0000  0.0000
Au  0.0000  0.0000  0.4997
Au  0.5000  0.5000  0.7476
Se  0.5000  0.5000  0.1693



# 5
A plane-wave DFT calculation with meta-GGA SCAN was carried out for RuAu2Se at its PBEsol-relaxed geometry.

As for the formation energy (no corrections): 0.5453 eV/atom.

Cell lengths 3.8023, 3.8023, 4.5627 Å; angles 90.00, 90.00, 90.00 degrees
Element x y z (fractional)
Ru  0.0000  0.0000  0.0000
Au  0.0000  0.5000  0.5000
Au  0.5000  0.0000  0.5000
Se  0.5000  0.5000  0.0000



# 6
A plane-wave DFT calculation with meta-GGA SCAN was carried out for RuAu3Se at its PBEsol-relaxed geometry.

As for the formation energy (no corrections): 1.2861 eV/atom.

Cell lengths 4.8810, 4.8810, 4.8810 Å; angles 90.00, 90.00, 90.00 degrees
Element x y z (fractional)
Ru  0.0000  0.0000  0.0000
Au  0.0000  0.0000  0.5000
Au  0.0000  0.5000  0.0000
Au  0.5000  0.0000  0.0000
Se  0.5000  0.5000  0.5000



# 7
A plane-wave DFT calculation with meta-GGA SCAN was carried out for Ru2AuSe at its PBEsol-relaxed geometry.

As for the formation energy (no corrections): 0.2989 eV/atom.

Cell lengths 2.8154, 2.8154, 7.9216 Å; angles 90.00, 90.00, 90.00 degrees
Element x y z (fractional)
Ru  0.0000  0.0000  0.0000
Ru  0.5000  0.5000  0.2114
Au  0.5000  0.5000  0.7481
Se  0.0000  0.0000  0.4254



# 8
A plane-wave DFT calculation with meta-GGA SCAN was carried out for RuAu2Se at its PBEsol-relaxed geometry.

As for the formation energy (no corrections): 0.3199 eV/atom.

Cell lengths 2.8295, 2.8295, 9.7992 Å; angles 90.00, 90.00, 119.01 degrees
Element x y z (fractional)
Ru  0.0000  0.0000  0.0000
Au  0.0000  0.0000  0.5052
Au  0.5000  0.5000  0.7585
Se  0.5000  0.5000  0.1960



# 9
A plane-wave DFT calculation with meta-GGA SCAN was carried out for Sn2RuAuSe at its PBEsol-relaxed geometry.

As for the formation energy (no corrections): 0.4535 eV/atom.

Cell lengths 5.0127, 5.0127, 4.9734 Å; angles 90.00, 90.00, 90.00 degrees
Element x y z (fractional)
Sn  0.0000  0.5000  0.0000
Sn  0.5000  0.0000  0.0000
Ru  0.0000  0.0000  0.0000
Au  0.0000  0.0000  0.5000
Se  0.5000  0.5000  0.5000



# 10
A plane-wave DFT calculation with meta-GGA SCAN was carried out for SiRu2Au at its PBEsol-relaxed geometry.

As for the formation energy (no corrections): 0.1246 eV/atom.

Cell lengths 4.6695, 4.6695, 4.6695 Å; angles 131.76, 131.76, 70.60 degrees
Element x y z (fractional)
Si  0.0000  0.0000  0.0000
Ru  0.2500  0.7500  0.5000
Ru  0.5000  0.5000  0.0000
Au  0.7500  0.2500  0.5000



# 11
A plane-wave DFT calculation with meta-GGA SCAN was carried out for SiRu2Au at its PBEsol-relaxed geometry.

As for the formation energy (no corrections): 0.3270 eV/atom.

Cell lengths 4.3147, 4.3147, 4.3147 Å; angles 60.00, 60.00, 60.00 degrees
Element x y z (fractional)
Si  0.0000  0.0000  0.0000
Ru  0.2500  0.2500  0.2500
Ru  0.5000  0.5000  0.5000
Au  0.7500  0.7500  0.7500



# 12
A plane-wave DFT calculation with meta-GGA SCAN was carried out for SiRuAu2 at its PBEsol-relaxed geometry.

As for the formation energy (no corrections): 0.1349 eV/atom.

Cell lengths 3.8235, 3.8235, 4.0916 Å; angles 90.00, 90.00, 90.00 degrees
Element x y z (fractional)
Si  0.0000  0.0000  0.0000
Ru  0.5000  0.5000  0.0000
Au  0.0000  0.5000  0.5000
Au  0.5000  0.0000  0.5000



# 13
A plane-wave DFT calculation with meta-GGA SCAN was carried out for SiRuAu at its PBEsol-relaxed geometry.

Its excess energy over the best structure of this formula in the dataset is 0 meV per atom. As for the formation energy (no corrections): -0.0449 eV/atom.

Cell lengths 2.8776, 2.8776, 6.1100 Å; angles 90.00, 90.00, 120.00 degrees
Element x y z (fractional)
Si  0.0000  0.0000  0.0000
Ru  0.6667  0.3333  0.2738
Au  0.3333  0.6667  0.6575



# 14
A plane-wave DFT calculation with meta-GGA SCAN was carried out for SiRuAu at its PBEsol-relaxed geometry.

Its excess energy over the best structure of this formula in the dataset is 207 meV per atom. As for the formation energy (no corrections): 0.1619 eV/atom.

Cell lengths 6.6297, 6.3662, 2.8301 Å; angles 82.69, 72.26, 25.05 degrees
Element x y z (fractional)
Si  0.0000  0.0000  0.0000
Ru  0.6367  0.6367  0.3633
Au  0.3296  0.3296  0.6704



# 15
A plane-wave DFT calculation with meta-GGA SCAN was carried out for SiRuAu2 at its PBEsol-relaxed geometry.

As for the formation energy (no corrections): 0.2168 eV/atom.

Cell lengths 2.9427, 4.3639, 4.7558 Å; angles 90.00, 90.00, 90.00 degrees
Element x y z (fractional)
Si  0.0000  0.0000  0.0000
Ru  0.5000  0.5000  0.0000
Au  0.0000  0.5000  0.5000
Au  0.5000  0.0000  0.5000



# 16
A plane-wave DFT calculation with meta-GGA SCAN was carried out for SiRuAu2 at its PBEsol-relaxed geometry.

As for the formation energy (no corrections): 0.2149 eV/atom.

Cell lengths 4.5765, 4.5765, 4.5765 Å; angles 126.41, 126.41, 79.21 degrees
Element x y z (fractional)
Si  0.0000  0.0000  0.0000
Ru  0.7500  0.2500  0.5000
Au  0.2500  0.7500  0.5000
Au  0.5000  0.5000  0.0000



# 17
A plane-wave DFT calculation with meta-GGA SCAN was carried out for YSiRuAu2 at its PBEsol-relaxed geometry.

As for the formation energy (no corrections): -0.0207 eV/atom.

Cell lengths 5.0116, 5.0116, 4.3278 Å; angles 90.00, 90.00, 90.00 degrees
Element x y z (fractional)
Y  0.0000  0.0000  0.0000
Si  0.5000  0.5000  0.0000
Ru  0.5000  0.5000  0.5000
Au  0.0000  0.5000  0.5000
Au  0.5000  0.0000  0.5000



# 18
A plane-wave DFT calculation with meta-GGA SCAN was carried out for SrRu3Au at its PBEsol-relaxed geometry.

For the formation energy, the calculation gives 2732 meV per atom.

Cell lengths 4.7067, 4.7067, 4.7067 Å; angles 90.00, 90.00, 90.00 degrees
Element x y z (fractional)
Sr  0.0000  0.0000  0.0000
Ru  0.0000  0.0000  0.5000
Ru  0.0000  0.5000  0.0000
Ru  0.5000  0.0000  0.0000
Au  0.5000  0.5000  0.5000



# 19
A plane-wave DFT calculation with meta-GGA SCAN was carried out for SrRuAu at its PBEsol-relaxed geometry.

For the formation energy, the calculation gives 1079 meV per atom.

Cell lengths 4.6921, 4.6921, 4.6921 Å; angles 60.00, 60.00, 60.00 degrees
Element x y z (fractional)
Sr  0.0000  0.0000  0.0000
Ru  0.7500  0.7500  0.7500
Au  0.2500  0.2500  0.2500



# 20
A plane-wave DFT calculation with meta-GGA SCAN was carried out for Ta3RuAu at its PBEsol-relaxed geometry.

For the formation energy, the calculation gives 1061 meV per atom.

Cell lengths 4.6953, 4.6953, 4.6953 Å; angles 90.00, 90.00, 90.00 degrees
Element x y z (fractional)
Ta  0.0000  0.0000  0.5000
Ta  0.0000  0.5000  0.0000
Ta  0.5000  0.0000  0.0000
Ru  0.0000  0.0000  0.0000
Au  0.5000  0.5000  0.5000



Number 1: total magnetization 0.00 μB per formula unit. Number 2: total magnetization 0.91 μB per formula unit. Number 3: total magnetization 0.01 μB per formula unit. Number 4: total magnetization 0.00 μB per formula unit. Number 5: total magnetization 1.86 μB per formula unit. Number 6: total magnetization 2.83 μB per formula unit. Number 7: total magnetization 0.01 μB per formula unit. Number 8: total magnetization 0.00 μB per formula unit. Number 9: total magnetization 0.93 μB per formula unit. Number 10: total magnetization 0.00 μB per formula unit. Number 11: total magnetization 2.39 μB per formula unit. Number 12: total magnetization 0.00 μB per formula unit. Number 13: total magnetization 0.00 μB per formula unit. Number 14: total magnetization 0.00 μB per formula unit. Number 15: total magnetization 0.00 μB per formula unit. Number 16: total magnetization 0.00 μB per formula unit. Number 17: total magnetization 0.00 μB per formula unit. Number 18: total magnetization 4.96 μB per formula unit. Number 19: total magnetization 1.54 μB per formula unit. Number 20: total magnetization 0.00 μB per formula unit.